1.
## PrZrTl (PBE)

Data for a geometry-optimized PrZrTl structure. Values from VASP.

```
&SYSTEM
  ibrav = 0, nat = 6, ntyp = 3
/
ATOMIC_SPECIES
Pr 140.91 Pr.upf
Zr 91.22 Zr.upf
Tl 204.38 Tl.upf
CELL_PARAMETERS angstrom
3.1605 -3.1618 0.0000
3.1605 3.1618 0.0000
-3.1498 0.0000 8.6052
ATOMIC_POSITIONS angstrom
Pr -0.0015 0.0000 3.0372
Pr 3.1727 0.0000 5.5681
Zr 1.5802 1.5809 0.0000
Zr 1.5802 -1.5809 0.0000
Tl 0.0126 0.0000 6.4412
Tl 3.1586 0.0000 2.1640
```

Calculated density (Mg/m³): 8.43
Relative energy among the computed polymorphs (eV/atom): 0.0000
M_tot (Bohr magnetons per cell): 0.99
Symmetry: No. 12
E_form (eV/atom): -0.165
Fermi-level density of states (states/eV per atom): 1.28

2.
## RbPuClF2 (PBE)

Data for a geometry-optimized RbPuClF2 structure. Values from VASP.

```
&SYSTEM
  ibrav = 0, nat = 5, ntyp = 4
/
ATOMIC_SPECIES
Rb 85.47 Rb.upf
Pu 244.00 Pu.upf
Cl 35.45 Cl.upf
F 19.00 F.upf
CELL_PARAMETERS angstrom
4.3235 0.0000 0.0000
0.0000 4.3494 0.0000
0.0000 0.0000 7.0657
ATOMIC_POSITIONS angstrom
Rb 0.0000 0.0000 0.0000
Pu 2.1617 2.1747 4.0666
Cl 2.1617 2.1747 1.3195
F 0.0000 2.1747 5.0663
F 2.1617 0.0000 5.0309
```

Calculated density (Mg/m³): 5.04
Energy (eV per cell): -33.896
M_tot (Bohr magnetons per cell): 5.95
Symmetry: No. 25
Fermi-level density of states (states/eV per atom): 3.04

3.
## Ru3RhN (PBE)

Data for a geometry-optimized Ru3RhN structure. Values from VASP.

```
&SYSTEM
  ibrav = 0, nat = 5, ntyp = 3
/
ATOMIC_SPECIES
Ru 101.07 Ru.upf
Rh 102.91 Rh.upf
N 14.01 N.upf
CELL_PARAMETERS angstrom
4.0099 0.0000 0.0000
0.0000 4.0099 0.0000
0.0000 0.0000 4.0099
ATOMIC_POSITIONS angstrom
Ru 0.0000 0.0000 2.0049
Ru 0.0000 2.0049 0.0000
Ru 2.0049 0.0000 0.0000
Rh 2.0049 2.0049 2.0049
N 0.0000 0.0000 0.0000
```

Calculated density (Mg/m³): 10.82
Relative energy among the computed polymorphs (eV/atom): 0.0000
M_tot (Bohr magnetons per cell): 0.00
Symmetry: No. 221
Fermi-level density of states (states/eV per atom): 0.81

4.
## LiZr2Zn2 (PBE)

Data for a geometry-optimized LiZr2Zn2 structure. Values from VASP.

```
&SYSTEM
  ibrav = 0, nat = 10, ntyp = 3
/
ATOMIC_SPECIES
Li 6.94 Li.upf
Zr 91.22 Zr.upf
Zn 65.41 Zn.upf
CELL_PARAMETERS angstrom
8.4615 0.0000 0.0000
0.0000 8.4615 0.0000
0.0000 0.0000 2.8322
ATOMIC_POSITIONS angstrom
Li 0.0000 0.0000 0.0000
Li 4.2308 4.2308 0.0000
Zr 1.0891 3.1417 0.0000
Zr 3.1417 7.3724 0.0000
Zr 5.3198 1.0891 0.0000
Zr 7.3724 5.3198 0.0000
Zn 1.4169 5.6476 1.4161
Zn 2.8139 1.4169 1.4161
Zn 5.6476 7.0446 1.4161
Zn 7.0446 2.8139 1.4161
```

Calculated density (Mg/m³): 5.24
Relative energy among the computed polymorphs (eV/atom): 0.1310
M_tot (Bohr magnetons per cell): 0.00
Symmetry: No. 127
E_form (eV/atom): 0.028
Fermi-level density of states (states/eV per atom): 0.51

5.
## TlCrIn2 (PBE)

Data for a geometry-optimized TlCrIn2 structure. Values from VASP.

```
&SYSTEM
  ibrav = 0, nat = 4, ntyp = 3
/
ATOMIC_SPECIES
Tl 204.38 Tl.upf
Cr 52.00 Cr.upf
In 114.82 In.upf
CELL_PARAMETERS angstrom
0.0000 3.6729 3.6729
3.6729 0.0000 3.6729
3.6729 3.6729 0.0000
ATOMIC_POSITIONS angstrom
Tl 0.0000 0.0000 0.0000
Cr 3.6729 3.6729 3.6729
In 1.8364 1.8364 1.8364
In 5.5093 5.5093 5.5093
```

Calculated density (Mg/m³): 8.14
Relative energy among the computed polymorphs (eV/atom): 0.1533
M_tot (Bohr magnetons per cell): 4.74
Symmetry: No. 225
E_form (eV/atom): 0.409
Fermi-level density of states (states/eV per atom): 0.52

6.
## Ce2Si3NiIr4 (PBE)

Data for a geometry-optimized Ce2Si3NiIr4 structure. Values from VASP.

```
&SYSTEM
  ibrav = 0, nat = 10, ntyp = 4
/
ATOMIC_SPECIES
Ce 140.12 Ce.upf
Si 28.09 Si.upf
Ni 58.69 Ni.upf
Ir 192.22 Ir.upf
CELL_PARAMETERS angstrom
4.1086 0.0000 0.0000
0.0000 4.1086 0.0000
0.0000 0.0000 10.1279
ATOMIC_POSITIONS angstrom
Ce 0.0000 2.0543 2.4434
Ce 2.0543 0.0000 7.6845
Si 0.0000 0.0000 0.0000
Si 0.0000 2.0543 6.3583
Si 2.0543 0.0000 3.7696
Ni 2.0543 2.0543 0.0000
Ir 0.0000 0.0000 5.0640
Ir 0.0000 2.0543 8.7441
Ir 2.0543 0.0000 1.3838
Ir 2.0543 2.0543 5.0640
```

Calculated density (Mg/m³): 11.58
Energy (eV per cell): -78.475
M_tot (Bohr magnetons per cell): 0.59
Symmetry: No. 115
Fermi-level density of states (states/eV per atom): 1.06

7.
## NaEr3Cd4 (PBE)

Data for a geometry-optimized NaEr3Cd4 structure. Values from VASP.

```
&SYSTEM
  ibrav = 0, nat = 8, ntyp = 3
/
ATOMIC_SPECIES
Na 22.99 Na.upf
Er 167.26 Er.upf
Cd 112.41 Cd.upf
CELL_PARAMETERS angstrom
3.6871 0.0000 0.0000
0.0000 3.6871 0.0000
0.0000 0.0000 15.1688
ATOMIC_POSITIONS angstrom
Na 0.0000 0.0000 0.0000
Er 0.0000 0.0000 3.8407
Er 0.0000 0.0000 7.5844
Er 0.0000 0.0000 11.3281
Cd 1.8435 1.8435 2.0025
Cd 1.8435 1.8435 5.7246
Cd 1.8435 1.8435 9.4442
Cd 1.8435 1.8435 13.1663
```

Calculated density (Mg/m³): 7.85
M_tot (Bohr magnetons per cell): 0.00
Symmetry: No. 123
E_form (eV/atom): -0.244
Fermi-level density of states (states/eV per atom): 0.62

8.
## BaYAs2Se (PBE)

Data for a geometry-optimized BaYAs2Se structure. Values from VASP.

```
&SYSTEM
  ibrav = 0, nat = 5, ntyp = 4
/
ATOMIC_SPECIES
Ba 137.33 Ba.upf
Y 88.91 Y.upf
As 74.92 As.upf
Se 78.96 Se.upf
CELL_PARAMETERS angstrom
5.5134 0.0000 0.0000
0.0000 5.5134 0.0000
0.0000 0.0000 5.7820
ATOMIC_POSITIONS angstrom
Ba 0.0000 0.0000 0.0000
Y 2.7567 2.7567 2.8910
As 0.0000 2.7567 0.0000
As 2.7567 0.0000 0.0000
Se 0.0000 0.0000 2.8910
```

Calculated density (Mg/m³): 4.30
Relative energy among the computed polymorphs (eV/atom): 1.1938
M_tot (Bohr magnetons per cell): 0.00
Symmetry: No. 123
Fermi-level density of states (states/eV per atom): 0.67

9.
## PrIn12Cu4 (PBE)

Data for a geometry-optimized PrIn12Cu4 structure. Values from VASP.

```
&SYSTEM
  ibrav = 0, nat = 17, ntyp = 3
/
ATOMIC_SPECIES
Pr 140.91 Pr.upf
In 114.82 In.upf
Cu 63.55 Cu.upf
CELL_PARAMETERS angstrom
-4.7232 4.7232 4.7232
4.7232 -4.7232 4.7232
4.7232 4.7232 -4.7232
ATOMIC_POSITIONS angstrom
Pr 0.0000 0.0000 0.0000
In 3.1833 0.0000 1.5603
In 6.2631 0.0000 1.5603
In 4.7232 3.1629 -1.5399
In 1.5603 3.1833 0.0000
In 3.1629 -1.5399 4.7232
In 4.7232 3.1629 1.5399
In 0.0000 1.5603 3.1833
In 1.5603 6.2631 0.0000
In 3.1629 1.5399 4.7232
In 0.0000 1.5603 6.2631
In -1.5399 4.7232 3.1629
In 1.5399 4.7232 3.1629
Cu 2.3616 2.3616 -2.3616
Cu 2.3616 -2.3616 2.3616
Cu -2.3616 2.3616 2.3616
Cu 2.3616 2.3616 2.3616
```

Calculated density (Mg/m³): 6.98
M_tot (Bohr magnetons per cell): 0.00
Symmetry: No. 204
E_form (eV/atom): 0.015
Fermi-level density of states (states/eV per atom): 0.42

10.
## Ho2TaGeN5 (PBE)

Data for a geometry-optimized Ho2TaGeN5 structure. Values from VASP.

```
&SYSTEM
  ibrav = 0, nat = 18, ntyp = 4
/
ATOMIC_SPECIES
Ho 164.93 Ho.upf
Ta 180.95 Ta.upf
Ge 72.64 Ge.upf
N 14.01 N.upf
CELL_PARAMETERS angstrom
1.5851 -6.8260 0.0000
1.5851 6.8260 0.0000
0.0000 0.0000 10.1104
ATOMIC_POSITIONS angstrom
Ho 1.5851 5.2172 5.0552
Ho 1.5851 5.0567 0.6855
Ho 1.5851 -5.0567 5.7407
Ho 1.5851 -5.2172 0.0000
Ta 1.5851 3.7564 8.0148
Ta 1.5851 -3.7564 2.9597
Ge 1.5851 0.1223 2.6450
Ge 1.5851 -0.1223 7.7002
N 1.5851 6.0209 8.4487
N 1.5851 2.9210 4.3628
N 1.5851 2.7713 1.5777
N 1.5851 1.7669 8.0724
N 1.5851 0.0017 0.7869
N 1.5851 -0.0017 5.8421
N 1.5851 -1.7669 3.0172
N 1.5851 -2.7713 6.6329
N 1.5851 -2.9210 9.4180
N 1.5851 -6.0209 3.3935
```

Calculated density (Mg/m³): 9.92
Energy (eV per cell): -154.575
M_tot (Bohr magnetons per cell): 0.00
Symmetry: No. 36
Fermi-level density of states (states/eV per atom): 0.00

11.
## Li2Tl3Cd (PBE)

Data for a geometry-optimized Li2Tl3Cd structure. Values from VASP.

```
&SYSTEM
  ibrav = 0, nat = 24, ntyp = 3
/
ATOMIC_SPECIES
Li 6.94 Li.upf
Tl 204.38 Tl.upf
Cd 112.41 Cd.upf
CELL_PARAMETERS angstrom
10.3358 0.0000 0.0000
-5.1679 8.9511 0.0000
0.0000 0.0000 6.6086
ATOMIC_POSITIONS angstrom
Li 0.0000 0.0000 1.6521
Li 0.0000 0.0000 4.9564
Li -2.5757 4.4803 1.6521
Li 2.5757 4.4803 1.6521
Li 0.0000 8.9416 1.6521
Li 5.1679 0.0095 4.9564
Li 2.5922 4.4708 4.9564
Li 7.7437 4.4708 4.9564
Tl 0.0000 3.0486 6.6071
Tl 0.0000 3.0486 3.3058
Tl -2.5277 7.4268 6.6071
Tl -2.5277 7.4268 3.3058
Tl 2.6402 1.5243 0.0015
Tl 2.6402 1.5243 3.3028
Tl 2.5277 7.4268 6.6071
Tl 2.5277 7.4268 3.3058
Tl 7.6956 1.5243 0.0015
Tl 7.6956 1.5243 3.3028
Tl 5.1679 5.9025 0.0015
Tl 5.1679 5.9025 3.3028
Cd 0.0000 5.9674 6.6075
Cd 0.0000 5.9674 3.3053
Cd 5.1679 2.9837 0.0011
Cd 5.1679 2.9837 3.3032
```

Calculated density (Mg/m³): 8.03
M_tot (Bohr magnetons per cell): 0.00
Symmetry: No. 194
E_form (eV/atom): -0.068
Fermi-level density of states (states/eV per atom): 0.36

12.
## NaTi2MnTc (PBE)

Data for a geometry-optimized NaTi2MnTc structure. Values from VASP.

```
&SYSTEM
  ibrav = 0, nat = 5, ntyp = 4
/
ATOMIC_SPECIES
Na 22.99 Na.upf
Ti 47.87 Ti.upf
Mn 54.94 Mn.upf
Tc 98.00 Tc.upf
CELL_PARAMETERS angstrom
4.4913 0.0000 0.0000
0.0000 4.4913 0.0000
0.0000 0.0000 4.4609
ATOMIC_POSITIONS angstrom
Na 0.0000 0.0000 0.0000
Ti 0.0000 2.2457 0.0000
Ti 2.2457 0.0000 0.0000
Mn 2.2457 2.2457 2.2304
Tc 0.0000 0.0000 2.2304
```

Calculated density (Mg/m³): 5.01
M_tot (Bohr magnetons per cell): 0.47
Symmetry: No. 123
E_form (eV/atom): 2.255
Fermi-level density of states (states/eV per atom): 1.85

- Which formula does entry 8 have?
  BaYAs2Se

- What is the formula in the eighth record?
  BaYAs2Se